Entry 1:
DFT (PBE) results for crystalline Li2CuBBr at its relaxed geometry.

Results
**M_tot**: 0.00 μB/cell

```
data_Li2CuBBr
_cell_length_a 4.779
_cell_length_b 4.779
_cell_length_c 4.797
_cell_angle_alpha 90.00
_cell_angle_beta 90.00
_cell_angle_gamma 90.00
_symmetry_space_group_name_H-M 'P 4/m m m'
_symmetry_Int_Tables_number 123
_symmetry_space_group_name_Hall '-P 4 2'
loop_
_atom_site_label
_atom_site_fract_x
_atom_site_fract_y
_atom_site_fract_z
_atom_site_occupancy
Li1 0.000 0.500 0.000 1
Cu1 0.000 0.000 0.000 1
B1 0.500 0.500 0.500 1
Br1 0.000 0.000 0.500 1
```



Entry 2:
DFT (PBE) results for crystalline CuBBrN2 at its relaxed geometry.

Results
**M_tot**: 0.00 μB/cell

```
data_CuBBrN2
_cell_length_a 3.818
_cell_length_b 3.818
_cell_length_c 4.778
_cell_angle_alpha 90.00
_cell_angle_beta 90.00
_cell_angle_gamma 90.00
_symmetry_space_group_name_H-M 'P 4/m m m'
_symmetry_Int_Tables_number 123
_symmetry_space_group_name_Hall '-P 4 2'
loop_
_atom_site_label
_atom_site_fract_x
_atom_site_fract_y
_atom_site_fract_z
_atom_site_occupancy
Cu1 0.000 0.000 0.000 1
B1 0.500 0.500 0.000 1
Br1 0.000 0.000 0.500 1
N1 0.000 0.500 0.500 1
```



Entry 3:
DFT (PBE) results for crystalline Cu3B7BrO13 at its relaxed geometry.

Results
**M_tot**: 24.21 μB/cell

```
data_Cu3B7BrO13
_cell_length_a 12.092
_cell_length_b 12.092
_cell_length_c 12.092
_cell_angle_alpha 90.00
_cell_angle_beta 90.00
_cell_angle_gamma 90.00
_symmetry_space_group_name_H-M 'F -4 3 c'
_symmetry_Int_Tables_number 219
_symmetry_space_group_name_Hall 'F -4a 2 3'
loop_
_atom_site_label
_atom_site_fract_x
_atom_site_fract_y
_atom_site_fract_z
_atom_site_occupancy
Cu1 0.000 0.000 0.250 1
B1 0.000 0.250 0.250 1
B2 0.169 0.169 0.169 1
Br1 0.000 0.000 0.000 1
O1 0.070 0.152 0.232 1
O2 0.250 0.250 0.250 1
```



Entry 4:
DFT (PBE) results for crystalline CuB2OsBr at its relaxed geometry.

Results
**M_tot**: 1.79 μB/cell

```
data_CuB2OsBr
_cell_length_a 3.772
_cell_length_b 3.772
_cell_length_c 5.630
_cell_angle_alpha 90.00
_cell_angle_beta 90.00
_cell_angle_gamma 90.00
_symmetry_space_group_name_H-M 'P 4/m m m'
_symmetry_Int_Tables_number 123
_symmetry_space_group_name_Hall '-P 4 2'
loop_
_atom_site_label
_atom_site_fract_x
_atom_site_fract_y
_atom_site_fract_z
_atom_site_occupancy
Cu1 0.000 0.000 0.000 1
B1 0.000 0.500 0.000 1
Os1 0.500 0.500 0.500 1
Br1 0.000 0.000 0.500 1
```



| no. | total energy (eV/atom) |
| --- | --- |
| 1 | -2.309 |
| 2 | -2.892 |
| 3 | -7.084 |
| 4 | -4.106 |